[1]
A plane-wave DFT calculation with GGA-PBEsol was carried out for a relaxed ZrCoAg2 crystal.

a = 5.190 Å, b = 5.190 Å, c = 5.190 Å
α = 137.66°, β = 137.66°, γ = 61.43°
Fractional coordinates of all 4 atoms:
Zr  0.000  0.000  0.000
Co  0.500  0.500  0.000
Ag  0.250  0.750  0.500
Ag  0.750  0.250  0.500

Formation enthalpy at 0 K (kJ per mole of atoms): -4.7
ΔE to the lowest computed polymorph (meV/atom): 0.0
SG: No. 139
Total moment (μB per formula unit): 0.00
Final energy (eV for the cell shown): -23.64
ρ (Mg/m³): 9.69


[2]
A plane-wave DFT calculation with GGA-PBEsol was carried out for a relaxed SrGaIN2 crystal.

a = 4.202 Å, b = 4.202 Å, c = 5.481 Å
α = 90.00°, β = 90.00°, γ = 90.00°
Fractional coordinates of all 5 atoms:
Sr  0.000  0.000  0.000
Ga  0.500  0.500  0.500
I  0.500  0.500  0.000
N  0.000  0.500  0.500
N  0.500  0.000  0.500

SG: No. 123
Total moment (μB per formula unit): 1.38
Final energy (eV for the cell shown): -21.55
ρ (Mg/m³): 5.36


[3]
A plane-wave DFT calculation with GGA-PBEsol was carried out for a relaxed RbScAs3 crystal.

a = 5.247 Å, b = 5.247 Å, c = 5.247 Å
α = 90.00°, β = 90.00°, γ = 90.00°
Fractional coordinates of all 5 atoms:
Rb  0.000  0.000  0.000
Sc  0.500  0.500  0.500
As  0.000  0.000  0.500
As  0.000  0.500  0.000
As  0.500  0.000  0.000

Formation enthalpy at 0 K (kJ per mole of atoms): 130.6
SG: No. 221
Total moment (μB per formula unit): 0.00
Final energy (eV for the cell shown): -16.18
ρ (Mg/m³): 4.08


[4]
A plane-wave DFT calculation with GGA-PBEsol was carried out for a relaxed Y4AgAs crystal.

a = 6.054 Å, b = 6.054 Å, c = 6.054 Å
α = 60.00°, β = 60.00°, γ = 60.00°
Fractional coordinates of all 6 atoms:
Y  0.124  0.124  0.124
Y  0.124  0.124  0.627
Y  0.124  0.627  0.124
Y  0.627  0.124  0.124
Ag  0.500  0.500  0.500
As  0.750  0.750  0.750

Formation enthalpy at 0 K (kJ per mole of atoms): 36.2
SG: No. 216
Total moment (μB per formula unit): 0.00
Final energy (eV for the cell shown): -33.46
ρ (Mg/m³): 5.70